The following is a PBE-GGA calculation of a relaxed structure of PrNdMgTc, from Alexandria.

Summary:
formation enthalpy at 0 K: 12 kJ per mole of atoms
magnetic moment: 0.0 μB per cell
crystal system: cubic

Cell and atoms, written as POSCAR:
```
PrNdMgTc
1.0
-1.561 -3.674 -3.346
-0.311 -4.965 1.542
-4.657 -2.256 0.595
Mg Tc Nd Pr
1 1 1 1
direct
0.000 0.000 0.000 Mg
0.500 0.500 0.500 Tc
0.750 0.750 0.750 Nd
0.250 0.250 0.250 Pr
```